(1)
# NdDy2Y6Er PBE optimized geometry
data_NdDy2Y6Er
_symmetry_space_group_name_H-M 'P 1'
_symmetry_Int_Tables_number 1
_cell_length_a 8.759
_cell_length_b 8.759
_cell_length_c 9.732
_cell_angle_alpha 94.85
_cell_angle_beta 94.85
_cell_angle_gamma 117.31
loop_
_symmetry_equiv_pos_as_xyz
'x,y,z'
loop_
_atom_site_label
_atom_site_type_symbol
_atom_site_fract_x
_atom_site_fract_y
_atom_site_fract_z
Nd1 Nd 0.095 0.905 0.750
Nd2 Nd 0.905 0.095 0.250
Dy1 Dy 0.209 0.309 0.955
Dy2 Dy 0.309 0.209 0.455
Dy3 Dy 0.691 0.791 0.545
Dy4 Dy 0.791 0.691 0.045
Y1 Y 0.002 0.794 0.380
Y2 Y 0.076 0.524 0.182
Y3 Y 0.206 0.998 0.120
Y4 Y 0.251 0.620 0.556
Y5 Y 0.380 0.749 0.944
Y6 Y 0.476 0.924 0.318
Y7 Y 0.524 0.076 0.682
Y8 Y 0.620 0.251 0.056
Y9 Y 0.749 0.380 0.444
Y10 Y 0.794 0.002 0.880
Y11 Y 0.924 0.476 0.818
Y12 Y 0.998 0.206 0.620
Er1 Er 0.478 0.522 0.250
Er2 Er 0.522 0.478 0.750
# **Calculated formation energy**: 1.21 eV/f.u.

=====

(2)
# Nd2DyYEr6 PBE optimized geometry
data_Nd2DyYEr6
_symmetry_space_group_name_H-M 'P 1'
_symmetry_Int_Tables_number 1
_cell_length_a 8.751
_cell_length_b 8.751
_cell_length_c 9.646
_cell_angle_alpha 94.56
_cell_angle_beta 94.56
_cell_angle_gamma 118.32
loop_
_symmetry_equiv_pos_as_xyz
'x,y,z'
loop_
_atom_site_label
_atom_site_type_symbol
_atom_site_fract_x
_atom_site_fract_y
_atom_site_fract_z
Nd1 Nd 0.193 0.300 0.043
Nd2 Nd 0.300 0.193 0.543
Nd3 Nd 0.700 0.807 0.457
Nd4 Nd 0.807 0.700 0.957
Dy1 Dy 0.407 0.593 0.750
Dy2 Dy 0.593 0.407 0.250
Y1 Y 0.018 0.982 0.250
Y2 Y 0.982 0.018 0.750
Er1 Er 0.024 0.576 0.187
Er2 Er 0.127 0.744 0.557
Er3 Er 0.256 0.873 0.943
Er4 Er 0.291 0.502 0.381
Er5 Er 0.424 0.976 0.313
Er6 Er 0.498 0.709 0.119
Er7 Er 0.502 0.291 0.881
Er8 Er 0.576 0.024 0.687
Er9 Er 0.709 0.498 0.619
Er10 Er 0.744 0.127 0.057
Er11 Er 0.873 0.256 0.443
Er12 Er 0.976 0.424 0.813
# **Calculated formation energy**: 1.16 eV/f.u.

=====

(3)
# NdDyY2Er5 PBE optimized geometry
data_NdDyY2Er5
_symmetry_space_group_name_H-M 'P 1'
_symmetry_Int_Tables_number 1
_cell_length_a 10.226
_cell_length_b 10.226
_cell_length_c 10.566
_cell_angle_alpha 90.00
_cell_angle_beta 90.00
_cell_angle_gamma 148.23
loop_
_symmetry_equiv_pos_as_xyz
'x,y,z'
loop_
_atom_site_label
_atom_site_type_symbol
_atom_site_fract_x
_atom_site_fract_y
_atom_site_fract_z
Nd1 Nd 0.083 0.917 0.500
Nd2 Nd 0.917 0.083 0.000
Dy1 Dy 0.299 0.701 0.057
Dy2 Dy 0.701 0.299 0.557
Y1 Y 0.387 0.613 0.366
Y2 Y 0.390 0.610 0.780
Y3 Y 0.610 0.390 0.280
Y4 Y 0.613 0.387 0.866
Er1 Er 0.021 0.979 0.782
Er2 Er 0.111 0.889 0.068
Er3 Er 0.202 0.798 0.755
Er4 Er 0.217 0.783 0.357
Er5 Er 0.481 0.519 0.072
Er6 Er 0.519 0.481 0.572
Er7 Er 0.783 0.217 0.857
Er8 Er 0.798 0.202 0.255
Er9 Er 0.889 0.111 0.568
Er10 Er 0.979 0.021 0.282
# **Calculated formation energy**: 1.43 eV/f.u.

=====

(4)
# NdDy6Y2Er PBE optimized geometry
data_NdDy6Y2Er
_symmetry_space_group_name_H-M 'P 1'
_symmetry_Int_Tables_number 1
_cell_length_a 8.806
_cell_length_b 8.806
_cell_length_c 9.418
_cell_angle_alpha 92.90
_cell_angle_beta 92.90
_cell_angle_gamma 116.98
loop_
_symmetry_equiv_pos_as_xyz
'x,y,z'
loop_
_atom_site_label
_atom_site_type_symbol
_atom_site_fract_x
_atom_site_fract_y
_atom_site_fract_z
Nd1 Nd 0.031 0.969 0.750
Nd2 Nd 0.969 0.031 0.250
Dy1 Dy 0.012 0.560 0.684
Dy2 Dy 0.121 0.757 0.058
Dy3 Dy 0.243 0.879 0.442
Dy4 Dy 0.291 0.518 0.885
Dy5 Dy 0.440 0.988 0.816
Dy6 Dy 0.482 0.709 0.615
Dy7 Dy 0.518 0.291 0.385
Dy8 Dy 0.560 0.012 0.184
Dy9 Dy 0.709 0.482 0.115
Dy10 Dy 0.757 0.121 0.558
Dy11 Dy 0.879 0.243 0.942
Dy12 Dy 0.988 0.440 0.316
Y1 Y 0.203 0.304 0.550
Y2 Y 0.304 0.203 0.050
Y3 Y 0.696 0.797 0.950
Y4 Y 0.797 0.696 0.450
Er1 Er 0.411 0.589 0.250
Er2 Er 0.589 0.411 0.750
# **Calculated formation energy**: 1.24 eV/f.u.

=====

(5)
# NdDy3YEr PBE optimized geometry
data_NdDy3YEr
_symmetry_space_group_name_H-M 'P 1'
_symmetry_Int_Tables_number 1
_cell_length_a 9.554
_cell_length_b 3.598
_cell_length_c 11.958
_cell_angle_alpha 90.00
_cell_angle_beta 110.28
_cell_angle_gamma 90.00
loop_
_symmetry_equiv_pos_as_xyz
'x,y,z'
loop_
_atom_site_label
_atom_site_type_symbol
_atom_site_fract_x
_atom_site_fract_y
_atom_site_fract_z
Nd1 Nd 0.128 0.250 0.128
Nd2 Nd 0.872 0.750 0.872
Dy1 Dy 0.070 0.250 0.405
Dy2 Dy 0.320 0.750 0.652
Dy3 Dy 0.433 0.750 0.098
Dy4 Dy 0.567 0.250 0.902
Dy5 Dy 0.680 0.250 0.348
Dy6 Dy 0.930 0.750 0.595
Y1 Y 0.183 0.250 0.845
Y2 Y 0.817 0.750 0.155
Er1 Er 0.377 0.750 0.378
Er2 Er 0.623 0.250 0.622
# **Calculated formation energy**: 0.00 eV/f.u.

=====

(6)
# Nd2DyYEr2 PBE optimized geometry
data_Nd2DyYEr2
_symmetry_space_group_name_H-M 'P 1'
_symmetry_Int_Tables_number 1
_cell_length_a 6.535
_cell_length_b 6.827
_cell_length_c 8.912
_cell_angle_alpha 90.00
_cell_angle_beta 96.60
_cell_angle_gamma 90.00
loop_
_symmetry_equiv_pos_as_xyz
'x,y,z'
loop_
_atom_site_label
_atom_site_type_symbol
_atom_site_fract_x
_atom_site_fract_y
_atom_site_fract_z
Nd1 Nd 0.083 0.250 0.023
Nd2 Nd 0.175 0.250 0.649
Nd3 Nd 0.825 0.750 0.351
Nd4 Nd 0.917 0.750 0.977
Dy1 Dy 0.433 0.750 0.015
Dy2 Dy 0.567 0.250 0.985
Y1 Y 0.192 0.750 0.660
Y2 Y 0.808 0.250 0.340
Er1 Er 0.324 0.503 0.334
Er2 Er 0.324 0.997 0.334
Er3 Er 0.676 0.003 0.666
Er4 Er 0.676 0.497 0.666
# **Calculated formation energy**: 0.82 eV/f.u.

=====

Number 1: mass density 5.9 Mg/m³. Number 2: mass density 8.0 Mg/m³. Number 3: mass density 7.5 Mg/m³. Number 4: mass density 7.5 Mg/m³. Number 5: mass density 7.6 Mg/m³. Number 6: mass density 7.4 Mg/m³.